Entry 1:
TcRu2Cl | PBE-GGA | relaxed

- calculated volume (Å³ per atom) = 14.60
- total magnetization (μB/atom) = 0.0001
- offset from the most stable computed form (eV per atom) = 0.0000
- formation energy from raw total energies (meV per atom) = 324
- DFT total energy (eV/atom) = -7.367
- crystal system = trigonal

abc: 8.5936 8.5936 8.5936
angles: 18.94 18.94 18.94
Positions (direct):
Tc (0.2500, 0.2500, 0.2500)
Ru (0.5002, 0.5002, 0.5002)
Cl (0.7500, 0.7500, 0.7500)
Ru (0.9998, 0.9998, 0.9998)

***

Entry 2:
Ga3GePb | PBE-GGA | relaxed

- calculated volume (Å³ per atom) = 31.89
- total magnetization (μB/atom) = 0.0000
- offset from the most stable computed form (eV per atom) = 0.5416
- DFT total energy (eV/atom) = -2.608
- crystal system = cubic

abc: 5.4227 5.4227 5.4227
angles: 90.00 90.00 90.00
Positions (direct):
Ga (0.0000, 0.0000, 0.5000)
Ge (0.5000, 0.5000, 0.5000)
Ga (0.5000, 0.0000, 0.0000)
Ga (0.0000, 0.5000, 0.0000)
Pb (0.0000, 0.0000, 0.0000)

***

Entry 3:
Hf4IrAu | PBE-GGA | relaxed

- calculated volume (Å³ per atom) = 23.29
- total magnetization (μB/atom) = 0.0000
- DFT total energy (eV/atom) = -8.863
- crystal system = monoclinic

abc: 5.7529 6.7710 7.1935
angles: 90.00 85.97 90.00
Positions (direct):
Hf (0.9230, 0.1445, 0.3598)
Hf (0.5770, 0.6445, 0.6402)
Hf (0.4230, 0.3555, 0.3598)
Hf (0.0770, 0.8555, 0.6402)
Hf (0.3049, 0.8131, 0.2386)
Hf (0.6951, 0.1869, 0.7614)
Ir (0.5000, 0.0000, 0.5000)
Hf (0.1951, 0.3131, 0.7614)
Au (0.0000, 0.0000, 0.0000)
Hf (0.8049, 0.6869, 0.2386)
Ir (0.0000, 0.5000, 0.5000)
Au (0.5000, 0.5000, 0.0000)

***

Entry 4:
K2NaSbPd | PBE-GGA | relaxed

- calculated volume (Å³ per atom) = 39.20
- total magnetization (μB/atom) = 0.0000
- formation energy from raw total energies (meV per atom) = -179
- DFT total energy (eV/atom) = -2.745
- crystal system = tetragonal

abc: 6.2026 6.2026 5.0952
angles: 90.00 90.00 90.00
Positions (direct):
Pd (0.0000, 0.0000, 0.0000)
K (0.5000, 0.0000, 0.0000)
K (0.0000, 0.5000, 0.0000)
Sb (0.0000, 0.0000, 0.5000)
Na (0.5000, 0.5000, 0.5000)